[1]
Here is an optimized crystal structure of RbGeC2O from Alexandria. Energies are from PBE. Values from VASP.

Geometry as Quantum ESPRESSO input:
```
&SYSTEM
  ibrav = 0, nat = 5, ntyp = 4
/
ATOMIC_SPECIES
Rb 85.47 Rb.upf
Ge 72.64 Ge.upf
C 12.01 C.upf
O 16.00 O.upf
CELL_PARAMETERS angstrom
4.120 0.000 0.000
0.000 4.120 0.000
0.000 0.000 4.211
ATOMIC_POSITIONS angstrom
Rb 0.000 0.000 0.000
Ge 2.060 2.060 2.106
C 0.000 2.060 2.106
C 2.060 0.000 2.106
O 2.060 2.060 0.000
```

ρ ... 4.60 Mg/m³
Formation energy without anion corrections ... 1348 meV/atom
E_tot ... -0.3271 Ry per atom

***

[2]
Here is an optimized crystal structure of AcPr2In from Alexandria. Energies are from PBE. Values from VASP.

Geometry as Quantum ESPRESSO input:
```
&SYSTEM
  ibrav = 0, nat = 4, ntyp = 3
/
ATOMIC_SPECIES
Ac 227.00 Ac.upf
Pr 140.91 Pr.upf
In 114.82 In.upf
CELL_PARAMETERS angstrom
2.735 1.579 5.823
-2.735 1.579 5.823
0.000 -3.158 5.823
ATOMIC_POSITIONS angstrom
Ac 0.000 0.000 0.000
Pr 0.000 0.000 3.811
Pr 0.000 0.000 7.840
In 0.000 0.000 13.904
```

ρ ... 6.86 Mg/m³
E_tot ... -0.3034 Ry per atom
Offset from the most stable computed form ... 19.8 kJ per mole of atoms
DFT formation energy ... -0.026 eV/atom